Version a
Entry from the Alexandria database: a relaxed structure of VTcCl3 (PBE).

The structure belongs to space group Pm-3m (No. 221); the cell edges are 4.875, 4.875 and 4.875 Å and the angles 90.00°, 90.00° and 90.00°. The asymmetric unit holds V at (0.000, 0.000, 0.000), Tc at (0.500, 0.500, 0.500) and Cl at (0.000, 0.500, 0.500).

As for the density of states at the Fermi level: 14.00 states/eV/f.u. The total magnetization is 6.37 μB per formula unit. Its crystal system is cubic.

Version b
Entry from the Alexandria database: a relaxed structure of VTcCl3 (PBE).

The structure belongs to space group Pm-3m (No. 221); the cell edges are 4.877, 4.877 and 4.877 Å and the angles 90.00°, 90.00° and 90.00°. The asymmetric unit holds V at (0.000, 0.000, 0.000), Tc at (0.500, 0.500, 0.500) and Cl at (0.000, 0.000, 0.500).

As for the density of states at the Fermi level: 5.08 states/eV/f.u. The total magnetization is 7.65 μB per formula unit. Its crystal system is cubic.

Compare the structures above. Which one is the least stable? version a is.